Entry 1:
{
  "formula": "GaTeOs",
  "functional": "GGA-PBE",
  "state": "relaxed",
  "lattice": [[3.202, 0.000, 0.000], [-1.601, 2.777, 0.000], [0.000, 0.000, 13.221]],
  "species": ["Os", "Os", "Ga", "Ga", "Te", "Te"],
  "fractional_positions": [[0.606, 0.212, 0.000], [0.282, 0.564, 0.500], [0.273, 0.547, 0.134], [0.273, 0.547, 0.866], [0.616, 0.232, 0.344], [0.616, 0.232, 0.656]],
  "final_energy_ev_per_fu": -16.08,
  "raw_formation_energy_ev_per_atom": 0.440,
  "n_ef_per_ev_atom": 0.44,
  "space_group": "Amm2"
}


Entry 2:
{
  "formula": "GaTeOs2",
  "functional": "GGA-PBE",
  "state": "relaxed",
  "lattice": [[-0.568, -4.086, 3.947], [4.732, 1.855, 2.601], [-1.106, 2.464, 6.521]],
  "species": ["Os", "Os", "Os", "Os", "Ga", "Ga", "Te", "Te"],
  "fractional_positions": [[0.375, 0.390, 0.750], [0.140, 0.625, 0.250], [0.875, 0.860, 0.750], [0.610, 0.125, 0.250], [0.500, 0.500, 0.000], [0.250, 0.750, 0.500], [0.750, 0.250, 0.500], [0.000, 0.000, 0.000]],
  "final_energy_ev_per_fu": -24.17,
  "raw_formation_energy_ev_per_atom": 1.115,
  "n_ef_per_ev_atom": 1.19,
  "space_group": "I-42d"
}


Entry 3:
{
  "formula": "Ga2TeOs",
  "functional": "GGA-PBE",
  "state": "relaxed",
  "lattice": [[6.002, 0.000, 0.000], [0.000, 6.002, 0.000], [3.001, 3.001, 5.971]],
  "species": ["Te", "Te", "Ga", "Ga", "Ga", "Ga", "Os", "Os"],
  "fractional_positions": [[0.250, 0.750, 0.500], [0.500, 0.500, 0.000], [0.071, 0.625, 0.250], [0.679, 0.125, 0.250], [0.375, 0.321, 0.750], [0.875, 0.929, 0.750], [0.750, 0.250, 0.500], [0.000, 0.000, 0.000]],
  "final_energy_ev_per_fu": -18.30,
  "raw_formation_energy_ev_per_atom": 0.531,
  "n_ef_per_ev_atom": 0.00,
  "space_group": "I-42d"
}


Entry 4:
{
  "formula": "GaTeOs2",
  "functional": "GGA-PBE",
  "state": "relaxed",
  "lattice": [[-0.577, 2.764, 3.496], [-4.146, 0.970, 1.437], [-1.452, -1.622, 3.931]],
  "species": ["Te", "Ga", "Os", "Os"],
  "fractional_positions": [[0.500, 0.500, 0.500], [0.000, 0.000, 0.000], [0.750, 0.750, 0.750], [0.250, 0.250, 0.250]],
  "final_energy_ev_per_fu": -26.49,
  "raw_formation_energy_ev_per_atom": 0.534,
  "n_ef_per_ev_atom": 0.50,
  "space_group": "Fm-3m"
}


Entry 5:
{
  "formula": "GaTe3Os",
  "functional": "GGA-PBE",
  "state": "relaxed",
  "lattice": [[-1.757, -4.653, -1.265], [3.002, -2.109, 3.589], [-3.774, 0.489, 3.444]],
  "species": ["Os", "Te", "Te", "Te", "Ga"],
  "fractional_positions": [[0.500, 0.500, 0.500], [0.000, 0.000, 0.500], [0.000, 0.500, 0.000], [0.500, 0.000, 0.000], [0.000, 0.000, 0.000]],
  "final_energy_ev_per_fu": -16.11,
  "raw_formation_energy_ev_per_atom": 1.513,
  "n_ef_per_ev_atom": 0.55,
  "space_group": "Pm-3m"
}


Entry 6:
{
  "formula": "Th6GaTe3Os2",
  "functional": "GGA-PBE",
  "state": "relaxed",
  "lattice": [[-0.779, 2.161, -3.594], [2.886, -7.094, -4.891], [-9.205, -2.097, 3.265]],
  "species": ["Te", "Te", "Te", "Os", "Os", "Th", "Th", "Th", "Th", "Th", "Th", "Ga"],
  "fractional_positions": [[0.161, 0.839, 0.322], [0.839, 0.161, 0.678], [0.500, 0.500, 0.000], [0.168, 0.338, 0.337], [0.832, 0.662, 0.663], [0.321, 0.440, 0.643], [0.679, 0.560, 0.357], [0.337, 0.877, 0.673], [0.018, 0.245, 0.036], [0.982, 0.755, 0.964], [0.663, 0.123, 0.327], [0.500, 0.000, 0.000]],
  "final_energy_ev_per_fu": -89.21,
  "raw_formation_energy_ev_per_atom": -0.815,
  "n_ef_per_ev_atom": 0.51,
  "space_group": "C2/m"
}